A plane-wave DFT calculation with PBE+U was carried out for a geometry-optimized PmInMo2O8 structure.

* magnetic moment: 2.00 μB per formula unit
* VASP energy: -169.6 eV/cell
* ρ: 6281 kg/m³
* V: 307 Å³ per cell

Cell: 5.2258 5.2258 11.2242 Å, 90.00 90.00 90.00°
Last column: nearest neighbours and their distance in Å.
Space group I-4 (No. 82)
One atom of each set of equivalent atoms:
Pm 0.0000 0.0000 0.0000 x2  8 O 2.39-2.43
In 0.0000 0.5000 0.7500 x2  4 O 2.21
Mo 0.0000 0.0000 0.5000 x2  4 O 1.82
Mo 0.0000 0.5000 0.2500 x2  4 O 2.01
O 0.1935 0.2187 0.5883 x8  1 Mo 1.82
O 0.2024 0.7677 0.1618 x8  1 Mo 2.01, 1 In 2.21